Record 1
Here is a relaxed LaNdYMg crystal from the Alexandria database. Energies are from GGA-PBE.

## Properties
N(E_F), states/eV per cell: 4.86
E_form, eV per atom: 0.023

Cell: 5.672 5.672 5.672 Å, 60.00 60.00 60.00°
Fractional positions:
La1 0.000 0.000 0.000
Y1 0.750 0.750 0.750
Nd1 0.500 0.500 0.500
Mg1 0.250 0.250 0.250

Record 2
Here is a relaxed TlPdAuI5 crystal from the Alexandria database. Energies are from GGA-PBE.

## Properties
N(E_F), states/eV per cell: 4.25
Energy relative to the elements, uncorrected, meV/atom: -212

Cell: 7.903 7.903 11.097 Å, 103.54 103.54 106.23°
Fractional positions:
I1 0.055 0.945 0.250
Au1 0.298 0.702 0.750
I2 0.892 0.297 0.072
I3 0.945 0.055 0.750
Pd1 0.000 0.000 0.000
I4 0.639 0.758 0.935
Tl1 0.333 0.667 0.250
I5 0.297 0.892 0.572
I6 0.361 0.242 0.065
I7 0.242 0.361 0.565
I8 0.758 0.639 0.435
I9 0.108 0.703 0.928
Pd2 0.000 0.000 0.500
Tl2 0.667 0.333 0.750
Au2 0.702 0.298 0.250
I10 0.703 0.108 0.428

Q: Number 2 is which compound?
A: TlPdAuI5